This record from Alexandria describes a relaxed structure of TbAl9Co2. The functional is PBE.

Structure (POSCAR):
```
TbAl9Co2
1.0
-1.073 6.268 2.284
2.614 1.293 7.676
6.147 5.236 -1.488
Al Co Tb
18 4 2
Direct
0.133 0.425 0.182 Al
0.065 0.318 0.925 Al
0.308 0.682 0.075 Al
0.685 0.182 0.575 Al
0.133 0.182 0.425 Al
0.065 0.925 0.318 Al
0.750 0.500 0.500 Al
0.010 0.682 0.925 Al
0.617 0.318 0.075 Al
0.685 0.575 0.182 Al
0.442 0.425 0.818 Al
0.010 0.925 0.682 Al
0.740 0.818 0.575 Al
0.000 0.000 0.000 Al
0.617 0.075 0.318 Al
0.308 0.075 0.682 Al
0.442 0.818 0.425 Al
0.740 0.575 0.818 Al
0.375 0.750 0.750 Co
0.875 0.250 0.750 Co
0.875 0.750 0.250 Co
0.875 0.250 0.250 Co
0.250 0.500 0.500 Tb
0.500 0.000 0.000 Tb
```

Output
Space group: I4_1/amd (141)
Formation enthalpy at 0 K (eV per atom): -0.365
Final energy (eV per atom): -4.74

***

This record from Alexandria describes a relaxed structure of Tb4AlCo. The functional is PBE.

Structure (POSCAR):
```
Tb4AlCo
1.0
-4.824 7.631 2.773
-9.443 -0.075 -0.139
-4.840 -0.162 8.108
Tb Co Al
16 4 4
Direct
0.942 0.558 0.558 Tb
0.942 0.942 0.558 Tb
0.188 0.812 0.812 Tb
0.401 0.797 0.401 Tb
0.558 0.942 0.942 Tb
0.797 0.401 0.401 Tb
0.942 0.558 0.942 Tb
0.558 0.558 0.942 Tb
0.812 0.188 0.188 Tb
0.558 0.942 0.558 Tb
0.812 0.812 0.188 Tb
0.812 0.188 0.812 Tb
0.401 0.401 0.401 Tb
0.188 0.812 0.188 Tb
0.401 0.401 0.797 Tb
0.188 0.188 0.812 Tb
0.609 0.172 0.609 Co
0.609 0.609 0.609 Co
0.172 0.609 0.609 Co
0.609 0.609 0.172 Co
0.174 0.174 0.174 Al
0.479 0.174 0.174 Al
0.174 0.174 0.479 Al
0.174 0.479 0.174 Al
```

Output
Space group: F-43m (216)
Offset from the most stable computed form (meV per atom): 0
Formation enthalpy at 0 K (eV per atom): -0.268
Final energy (eV per atom): -5.16

***

This record from Alexandria describes a relaxed structure of TbAlCo4. The functional is PBE.

Structure (POSCAR):
```
TbAlCo4
1.0
5.004 -0.024 0.000
-2.567 4.295 0.000
0.000 0.000 4.019
Co Tb Al
4 1 1
Direct
0.684 0.316 0.000 Co
0.000 0.500 0.500 Co
0.316 0.684 0.000 Co
0.500 0.000 0.500 Co
0.000 0.000 0.000 Tb
0.500 0.500 0.500 Al
```

Output
Space group: Cmmm (65)
Offset from the most stable computed form (meV per atom): 0
Formation enthalpy at 0 K (eV per atom): -0.248
Final energy (eV per atom): -6.38